Record 1
Material: CrP2HCl
Method: DFT, GGA-PBE
State: relaxed

Values from the calculation:
* distance to the lowest polymorph of the same formula: 0 meV per atom
* theoretical density: 3353 kg/m³
* symmetry: P4/mmm (123)
* total moment: 3.75 μB per formula unit

abc: 3.610 3.610 5.717
angles: 90.00 90.00 90.00
Last column: magnetic moment on the atom in μB.
Element x y z (fractional)
Cr (0.500, 0.500, 0.500)  3.85
H (0.000, 0.000, 0.000)  -0.01
P (0.000, 0.500, 0.000)  -0.11
P (0.500, 0.000, 0.000)  -0.11
Cl (0.000, 0.000, 0.500)  -0.03

Record 2
Material: CrP2HCl
Method: DFT, GGA-PBE
State: relaxed

Values from the calculation:
* distance to the lowest polymorph of the same formula: 139 meV per atom
* theoretical density: 2625 kg/m³
* symmetry: P4/mmm (123)
* total moment: 0.90 μB per formula unit

abc: 4.324 4.324 5.090
angles: 90.00 90.00 90.00
Last column: magnetic moment on the atom in μB.
Element x y z (fractional)
Cr (0.000, 0.000, 0.000)  0.06
H (0.500, 0.500, 0.500)  0.35
P (0.000, 0.500, 0.000)  -0.01
P (0.500, 0.000, 0.000)  -0.01
Cl (0.000, 0.000, 0.500)  0.04

DOS(E_F) for every record listed, in sequence, given in states/eV per atom: 0.686; 0.540.